# 1
The following is a PBE calculation of crystalline ZnGa2BC at its relaxed geometry, from Alexandria.

Its formation enthalpy at 0 K is 450.3 meV/atom. Its crystal system is tetragonal.

The structure belongs to space group P4/mmm (No. 123); the cell edges are 5.4283, 5.4283 and 2.7700 Å and the angles 90.00°, 90.00° and 90.00°. The asymmetric unit holds Zn at (0.0000, 0.0000, 0.0000), Ga at (0.0000, 0.5000, 0.5000), B at (0.5000, 0.5000, 0.5000) and C at (0.5000, 0.5000, 0.0000).

# 2
The following is a PBE calculation of crystalline GdB2C2 at its relaxed geometry, from Alexandria.

Its formation enthalpy at 0 K is -309.9 meV/atom. Its crystal system is tetragonal.

The structure belongs to space group P4_2/mmc (No. 131); the cell edges are 3.8059, 3.8059 and 7.3738 Å and the angles 90.00°, 90.00° and 90.00°. The asymmetric unit holds Gd at (0.0000, 0.0000, 0.2500), B at (0.2160, 0.5000, 0.0000) and C at (0.1871, 0.5000, 0.5000).

# 3
The following is a PBE calculation of crystalline GdB2C2 at its relaxed geometry, from Alexandria.

Its formation enthalpy at 0 K is -445.1 meV/atom. Its crystal system is tetragonal.

The structure belongs to space group P4/mbm (No. 127); the cell edges are 5.3652, 5.3652 and 3.6606 Å and the angles 90.00°, 90.00° and 90.00°. The asymmetric unit holds Gd at (0.0000, 0.0000, 0.0000), B at (0.1371, 0.3629, 0.5000) and C at (0.1616, 0.6616, 0.5000).

# 4
The following is a PBE calculation of crystalline Gd2B3C2 at its relaxed geometry, from Alexandria.

Its formation enthalpy at 0 K is -474.9 meV/atom. Its crystal system is monoclinic.

The structure belongs to space group P2/m (No. 10); the cell edges are 3.4306, 3.7124 and 7.0630 Å and the angles 90.00°, 103.77° and 90.00°. The asymmetric unit holds Gd at (0.1374, 0.0000, 0.2695), B at (0.2821, 0.5000, 0.5654), B at (0.5000, 0.5000, 0.0000) and C at (0.3933, 0.5000, 0.7897).

# 5
The following is a PBE calculation of crystalline Gd4B3C4 at its relaxed geometry, from Alexandria.

Its formation enthalpy at 0 K is -412.0 meV/atom. Its crystal system is triclinic.

The structure belongs to space group P-1 (No. 2); the cell edges are 3.6437, 3.6609 and 11.9524 Å and the angles 90.21°, 96.98° and 90.03°. The asymmetric unit holds Gd at (0.1439, 0.4962, 0.1350), Gd at (0.2662, 0.0016, 0.6524), B at (0.3132, 0.4995, 0.4521), B at (0.5000, 0.0000, 0.0000), C at (0.2265, 0.4980, 0.3287) and C at (0.3680, 0.0043, 0.8781).

# 6
The following is a PBE calculation of crystalline GdBC2 at its relaxed geometry, from Alexandria.

Its formation enthalpy at 0 K is 540.1 meV/atom. Its crystal system is trigonal.

The structure belongs to space group R-3m (No. 166, hexagonal axes); the cell edges are 3.8251, 3.8251 and 15.4646 Å and the angles 90.00°, 90.00° and 120.00°. The asymmetric unit holds Gd at (0.0000, 0.0000, 0.0000), B at (0.0000, 0.0000, 0.5000) and C at (0.0000, 0.0000, 0.4075).

# 7
The following is a PBE calculation of crystalline GdNi2B2C at its relaxed geometry, from Alexandria.

Its formation enthalpy at 0 K is -496.4 meV/atom. Its crystal system is tetragonal.

The structure belongs to space group I4/mmm (No. 139); the cell edges are 3.5846, 3.5846 and 10.2850 Å and the angles 90.00°, 90.00° and 90.00°. The asymmetric unit holds Gd at (0.0000, 0.0000, 0.0000), Ni at (0.0000, 0.5000, 0.2500), B at (0.0000, 0.0000, 0.3548) and C at (0.0000, 0.0000, 0.5000).

# 8
The following is a PBE calculation of crystalline Ge3BC at its relaxed geometry, from Alexandria.

Its energy relative to the lowest polymorph listed for this composition is 0.0 meV/atom. Its formation enthalpy at 0 K is 1572.1 meV/atom. Its crystal system is cubic.

The structure belongs to space group Pm-3m (No. 221); the cell edges are 4.2225, 4.2225 and 4.2225 Å and the angles 90.00°, 90.00° and 90.00°. The asymmetric unit holds Ge at (0.0000, 0.0000, 0.5000), B at (0.5000, 0.5000, 0.5000) and C at (0.0000, 0.0000, 0.0000).

Please write out number 5 again, unchanged.
The following is a PBE calculation of crystalline Gd4B3C4 at its relaxed geometry, from Alexandria.

Its formation enthalpy at 0 K is -412.0 meV/atom. Its crystal system is triclinic.

The structure belongs to space group P-1 (No. 2); the cell edges are 3.6437, 3.6609 and 11.9524 Å and the angles 90.21°, 96.98° and 90.03°. The asymmetric unit holds Gd at (0.1439, 0.4962, 0.1350), Gd at (0.2662, 0.0016, 0.6524), B at (0.3132, 0.4995, 0.4521), B at (0.5000, 0.0000, 0.0000), C at (0.2265, 0.4980, 0.3287) and C at (0.3680, 0.0043, 0.8781).

Which value of formation enthalpy at 0 K does entry 4 give? -474.9 meV/atom

Which of these has the lowest formation enthalpy at 0 K? GdNi2B2C